# 1
Crystalline Tm3Al9Ni2 at its relaxed geometry, computed with PBE.

Calculated values
Magnetization   0.0 μB per cell
SG   No. 71
Electronic total energy   -65.7 eV per cell
D(E_F)   5.7 states/eV/f.u.
ΔH_f (0 K)   -0.502 eV/atom

```
Tm3Al9Ni2
1.0
-2.104 4.933 5.991
2.104 -4.933 5.991
2.104 4.933 -5.991
Tm Al Ni
3 9 2
direct
0.000 0.000 0.000 Tm
0.309 0.309 0.000 Tm
0.691 0.691 0.000 Tm
0.020 0.654 0.366 Al
0.159 0.876 0.282 Al
0.287 0.654 0.634 Al
0.406 0.124 0.282 Al
0.500 0.000 0.500 Al
0.594 0.876 0.718 Al
0.713 0.346 0.366 Al
0.841 0.124 0.718 Al
0.980 0.346 0.634 Al
0.299 0.500 0.799 Ni
0.701 0.500 0.201 Ni
```

=====

# 2
Crystalline TmAlNi2 at its relaxed geometry, computed with PBE.

Calculated values
Magnetization   0.0 μB per cell
SG   No. 123
Electronic total energy   -21.5 eV per cell
D(E_F)   2.5 states/eV/f.u.
ΔH_f (0 K)   -0.424 eV/atom

```
TmAlNi2
1.0
4.372 0.000 0.000
0.000 4.372 0.000
0.000 0.000 3.204
Tm Al Ni
1 1 2
direct
0.000 0.000 0.000 Tm
0.500 0.500 0.000 Al
0.000 0.500 0.500 Ni
0.500 0.000 0.500 Ni
```

=====

# 3
Crystalline TmAl2Ni9 at its relaxed geometry, computed with PBE.

Calculated values
Magnetization   1.0 μB per cell
SG   No. 127
Electronic total energy   -136.9 eV per cell
D(E_F)   18.6 states/eV/f.u.
ΔH_f (0 K)   -0.373 eV/atom

```
TmAl2Ni9
1.0
8.033 0.000 0.000
0.000 8.033 0.000
0.000 0.000 4.694
Tm Al Ni
2 4 18
direct
0.000 0.000 0.000 Tm
0.500 0.500 0.000 Tm
0.121 0.379 0.000 Al
0.379 0.879 0.000 Al
0.621 0.121 0.000 Al
0.879 0.621 0.000 Al
0.000 0.500 0.500 Ni
0.064 0.209 0.500 Ni
0.178 0.678 0.240 Ni
0.178 0.678 0.760 Ni
0.209 0.936 0.500 Ni
0.291 0.436 0.500 Ni
0.322 0.178 0.240 Ni
0.322 0.178 0.760 Ni
0.436 0.709 0.500 Ni
0.500 0.000 0.500 Ni
0.564 0.291 0.500 Ni
0.678 0.822 0.240 Ni
0.678 0.822 0.760 Ni
0.709 0.564 0.500 Ni
0.791 0.064 0.500 Ni
0.822 0.322 0.240 Ni
0.822 0.322 0.760 Ni
0.936 0.791 0.500 Ni
```

=====

# 4
Crystalline TmAl4Ni at its relaxed geometry, computed with PBE.

Calculated values
Magnetization   0.0 μB per cell
SG   No. 63
Electronic total energy   -53.7 eV per cell
D(E_F)   2.5 states/eV/f.u.
ΔH_f (0 K)   -0.267 eV/atom

```
TmAl4Ni
1.0
2.187 -8.795 0.000
2.187 8.795 0.000
0.000 0.000 5.753
Tm Al Ni
2 8 2
direct
0.105 0.895 0.750 Tm
0.895 0.105 0.250 Tm
0.150 0.850 0.250 Al
0.294 0.706 0.011 Al
0.294 0.706 0.489 Al
0.500 0.500 0.000 Al
0.500 0.500 0.500 Al
0.706 0.294 0.511 Al
0.706 0.294 0.989 Al
0.850 0.150 0.750 Al
0.398 0.602 0.750 Ni
0.602 0.398 0.250 Ni
```

=====

# 5
Crystalline TmAlNi2 at its relaxed geometry, computed with PBE.

Calculated values
Magnetization   0.0 μB per cell
SG   No. 123
Electronic total energy   -21.7 eV per cell
D(E_F)   1.6 states/eV/f.u.
ΔH_f (0 K)   -0.472 eV/atom

```
TmAlNi2
1.0
3.157 0.000 0.000
0.000 3.157 0.000
0.000 0.000 6.143
Tm Al Ni
1 1 2
direct
0.000 0.000 0.000 Tm
0.000 0.000 0.500 Al
0.500 0.500 0.292 Ni
0.500 0.500 0.708 Ni
```

=====

# 6
Crystalline TmAl12Ni6 at its relaxed geometry, computed with PBE.

Calculated values
Magnetization   0.0 μB per cell
SG   No. 166
Electronic total energy   -92.3 eV per cell
D(E_F)   6.3 states/eV/f.u.
ΔH_f (0 K)   -0.432 eV/atom

```
TmAl12Ni6
1.0
5.471 3.159 2.783
-5.471 3.159 2.783
0.000 -6.318 2.783
Tm Al Ni
1 12 6
direct
0.000 0.000 0.000 Tm
0.118 0.500 0.882 Al
0.118 0.882 0.500 Al
0.154 0.412 0.412 Al
0.412 0.154 0.412 Al
0.412 0.412 0.154 Al
0.500 0.118 0.882 Al
0.500 0.882 0.118 Al
0.588 0.588 0.846 Al
0.588 0.846 0.588 Al
0.846 0.588 0.588 Al
0.882 0.118 0.500 Al
0.882 0.500 0.118 Al
0.274 0.274 0.702 Ni
0.274 0.702 0.274 Ni
0.298 0.726 0.726 Ni
0.702 0.274 0.274 Ni
0.726 0.298 0.726 Ni
0.726 0.726 0.298 Ni
```

=====

# 7
Crystalline TmAl4Ni2 at its relaxed geometry, computed with PBE.

Calculated values
Magnetization   0.0 μB per cell
SG   No. 136
Electronic total energy   -69.5 eV per cell
D(E_F)   2.5 states/eV/f.u.
ΔH_f (0 K)   -0.535 eV/atom

```
TmAl4Ni2
1.0
7.460 0.000 0.000
0.000 7.460 0.000
0.000 0.000 3.988
Tm Al Ni
2 8 4
direct
0.000 0.000 0.000 Tm
0.500 0.500 0.500 Tm
0.084 0.331 0.500 Al
0.169 0.584 0.000 Al
0.331 0.084 0.500 Al
0.416 0.831 0.000 Al
0.584 0.169 0.000 Al
0.669 0.916 0.500 Al
0.831 0.416 0.000 Al
0.916 0.669 0.500 Al
0.224 0.776 0.500 Ni
0.276 0.276 0.000 Ni
0.724 0.724 0.000 Ni
0.776 0.224 0.500 Ni
```

=====

# 8
Crystalline Tm12AlNi5 at its relaxed geometry, computed with PBE.

Calculated values
Magnetization   0.0 μB per cell
SG   No. 71
Electronic total energy   -92.7 eV per cell
D(E_F)   16.8 states/eV/f.u.
ΔH_f (0 K)   -0.356 eV/atom

```
Tm12AlNi5
1.0
-4.591 4.664 4.867
4.591 -4.664 4.867
4.591 4.664 -4.867
Tm Al Ni
12 1 5
direct
0.031 0.221 0.810 Tm
0.183 0.289 0.472 Tm
0.183 0.711 0.893 Tm
0.324 0.021 0.697 Tm
0.324 0.627 0.303 Tm
0.411 0.221 0.190 Tm
0.589 0.779 0.810 Tm
0.676 0.373 0.697 Tm
0.676 0.979 0.303 Tm
0.817 0.289 0.107 Tm
0.817 0.711 0.528 Tm
0.969 0.779 0.190 Tm
0.500 0.500 0.000 Al
0.000 0.000 0.000 Ni
0.124 0.624 0.500 Ni
0.359 0.000 0.359 Ni
0.641 0.000 0.641 Ni
0.876 0.376 0.500 Ni
```